# CaCo3

Crystalline CaCo3 at its relaxed geometry (PBE-GGA, Alexandria).

Calculated values
Total magnetic moment = 4.4 μB/f.u.
N(E_F) = 8.075 states/eV per cell
VASP energy = -21.09 eV/cell
DFT formation energy = 0.5579 eV per atom

a = 3.8758 Å, b = 3.8758 Å, c = 3.8758 Å
α = 90.00°, β = 90.00°, γ = 90.00°
Closest atoms and distances in Å follow each position.
Space group Pm-3m (No. 221)
Asymmetric unit:
Ca1 0.0000 0.0000 0.0000 (multiplicity 1)  12 Co 2.74
Co1 0.0000 0.5000 0.5000 (multiplicity 3)  8 Co 2.74, 4 Ca 2.74

---

# CaCo3

Crystalline CaCo3 at its relaxed geometry (PBE-GGA, Alexandria).

Calculated values
Total magnetic moment = 4.8 μB/f.u.
N(E_F) = 8.563 states/eV per cell
VASP energy = -12.58 eV/cell
DFT formation energy = 2.6843 eV per atom

a = 4.9365 Å, b = 4.9365 Å, c = 4.9365 Å
α = 90.00°, β = 90.00°, γ = 90.00°
Closest atoms and distances in Å follow each position.
Space group Pm-3m (No. 221)
Asymmetric unit:
Ca1 0.0000 0.0000 0.0000 (multiplicity 1)  6 Co 2.47
Co1 0.0000 0.0000 0.5000 (multiplicity 3)  2 Ca 2.47